The following is a PBE calculation of a relaxed structure of MnSiAg2, from the Alexandria database.

Results
As for the uncorrected formation energy: 0.212 eV per atom. The total energy comes out at -4.862 eV per atom. As for the relative energy among the computed polymorphs: 96 meV/atom.

POSCAR file:
```
MnSiAg2
1.0
4.808 -1.416 0.000
4.808 1.416 0.000
-0.753 0.000 4.694
Mn Si Ag
1 1 2
Cartesian
0.000 0.000 0.000
4.431 0.000 2.347
1.816 0.000 3.521
7.046 0.000 1.173
```



The following is a PBE calculation of a relaxed structure of MnSiAg2, from the Alexandria database.

Results
As for the uncorrected formation energy: 0.116 eV per atom. The total energy comes out at -4.957 eV per atom. As for the relative energy among the computed polymorphs: 0 meV/atom.

POSCAR file:
```
MnSiAg2
1.0
2.826 0.000 0.000
0.000 3.748 0.000
-1.377 0.000 6.044
Mn Si Ag
1 1 2
Cartesian
0.000 0.000 0.000
1.413 1.874 0.851
0.026 1.874 4.285
1.432 0.000 2.645
```



The following is a PBE calculation of a relaxed structure of MnSiAg2, from the Alexandria database.

Results
As for the uncorrected formation energy: 0.333 eV per atom. The total energy comes out at -4.741 eV per atom. As for the relative energy among the computed polymorphs: 216 meV/atom.

POSCAR file:
```
MnSiAg2
1.0
1.444 0.834 9.115
-1.444 0.834 9.115
0.000 -1.668 9.115
Mn Si Ag
1 1 2
Cartesian
0.000 0.000 0.000
0.000 0.000 13.673
0.000 0.000 6.816
0.000 0.000 20.529
```



The following is a PBE calculation of a relaxed structure of Mn2SiAg, from the Alexandria database.

Results
As for the uncorrected formation energy: 0.154 eV per atom. The total energy comes out at -6.499 eV per atom.

POSCAR file:
```
Mn2SiAg
1.0
3.861 0.000 0.000
0.000 3.861 0.000
0.000 0.000 3.741
Mn Si Ag
2 1 1
Cartesian
0.000 1.930 0.000
1.930 0.000 0.000
0.000 0.000 1.871
1.930 1.930 1.871
```



The following is a PBE calculation of a relaxed structure of MnSi3Ag, from the Alexandria database.

Results
As for the uncorrected formation energy: 0.360 eV per atom. The total energy comes out at -5.298 eV per atom. As for the relative energy among the computed polymorphs: 0 meV/atom.

POSCAR file:
```
MnSi3Ag
1.0
4.437 0.000 0.000
0.000 4.437 0.000
0.000 0.000 4.437
Mn Si Ag
1 3 1
Cartesian
0.000 0.000 0.000
0.000 0.000 2.219
0.000 2.219 0.000
2.219 0.000 0.000
2.219 2.219 2.219
```



The following is a PBE calculation of a relaxed structure of Mn2SiAg, from the Alexandria database.

Results
As for the uncorrected formation energy: 0.210 eV per atom. The total energy comes out at -6.443 eV per atom.

POSCAR file:
```
Mn2SiAg
1.0
1.362 0.787 8.566
-1.362 0.787 8.566
0.000 -1.573 8.566
Mn Si Ag
2 1 1
Cartesian
0.000 0.000 0.000
0.000 0.000 6.663
0.000 0.000 19.055
0.000 0.000 12.858
```



The following is a PBE calculation of a relaxed structure of MnSiAg2, from the Alexandria database.

Results
As for the uncorrected formation energy: 0.234 eV per atom. The total energy comes out at -4.840 eV per atom. As for the relative energy among the computed polymorphs: 118 meV/atom.

POSCAR file:
```
MnSiAg2
1.0
3.019 0.000 0.000
0.000 4.496 0.000
0.000 0.000 4.739
Mn Si Ag
1 1 2
Cartesian
0.000 0.000 0.000
1.510 2.248 0.000
0.000 2.248 2.370
1.510 0.000 2.370
```



The following is a PBE calculation of a relaxed structure of Mn2SiAg, from the Alexandria database.

Results
As for the uncorrected formation energy: 0.206 eV per atom. The total energy comes out at -6.447 eV per atom.

POSCAR file:
```
Mn2SiAg
1.0
4.288 -1.392 0.000
4.288 1.392 0.000
-0.896 0.000 4.814
Mn Si Ag
2 1 1
Cartesian
0.000 0.000 0.000
6.178 0.000 1.216
1.500 0.000 3.996
3.880 0.000 2.467
```



The following is a PBE calculation of a relaxed structure of MnSiAg2, from the Alexandria database.

Results
As for the uncorrected formation energy: 0.246 eV per atom. The total energy comes out at -4.827 eV per atom. As for the relative energy among the computed polymorphs: 130 meV/atom.

POSCAR file:
```
MnSiAg2
1.0
4.428 -1.404 0.000
4.428 1.404 0.000
-1.135 0.000 5.196
Mn Si Ag
1 1 2
Cartesian
0.000 0.000 0.000
1.403 0.000 4.379
4.083 0.000 2.829
6.441 0.000 1.464
```



The following is a PBE calculation of a relaxed structure of MnSiAg2, from the Alexandria database.

Results
As for the uncorrected formation energy: 0.219 eV per atom. The total energy comes out at -4.855 eV per atom. As for the relative energy among the computed polymorphs: 103 meV/atom.

POSCAR file:
```
MnSiAg2
1.0
-1.483 2.215 4.956
1.483 -2.215 4.956
1.483 2.215 -4.956
Mn Si Ag
1 1 2
Cartesian
0.000 0.000 0.000
0.000 0.000 4.956
1.483 0.000 2.787
0.000 2.215 2.169
```



The following is a PBE calculation of a relaxed structure of MnSiAg2, from the Alexandria database.

Results
As for the uncorrected formation energy: 0.277 eV per atom. The total energy comes out at -4.796 eV per atom. As for the relative energy among the computed polymorphs: 161 meV/atom.

POSCAR file:
```
MnSiAg2
1.0
2.934 0.000 0.000
0.000 4.064 0.000
0.000 0.000 5.504
Mn Si Ag
1 1 2
Cartesian
0.000 0.000 0.000
0.000 0.000 2.752
1.467 2.032 1.370
1.467 2.032 4.134
```



The following is a PBE calculation of a relaxed structure of Mn2SiAg, from the Alexandria database.

Results
As for the uncorrected formation energy: 0.287 eV per atom. The total energy comes out at -6.366 eV per atom.

POSCAR file:
```
Mn2SiAg
1.0
0.000 3.004 3.004
3.004 0.000 3.004
3.004 3.004 0.000
Mn Si Ag
2 1 1
Cartesian
0.000 0.000 0.000
1.502 1.502 1.502
3.004 3.004 3.004
4.506 4.506 4.506
```



no.,spin magnetization (μB per formula unit)
1,3.62
2,3.00
3,3.85
4,5.58
5,0.00
6,0.04
7,3.45
8,5.80
9,3.17
10,3.55
11,3.86
12,4.30